# PBE CoAg2, relaxed
# Formation energy in kcal/mol of atoms: 8.809
# Energy relative to the lowest polymorph listed for this composition in meV per atom: 108.3
# Electronic total energy in eV per atom: -3.887
data_CoAg2
_chemical_formula_sum 'Co2 Ag4'
_symmetry_space_group_name_H-M 'P 1'
_symmetry_Int_Tables_number 1
_cell_length_a 5.1285
_cell_length_b 5.1285
_cell_length_c 5.1285
_cell_angle_alpha 101.58
_cell_angle_beta 101.58
_cell_angle_gamma 126.77
loop_
_symmetry_equiv_pos_as_xyz
'x,y,z'
loop_
_atom_site_label
_atom_site_type_symbol
_atom_site_fract_x
_atom_site_fract_y
_atom_site_fract_z
_atom_site_occupancy
Ag1 Ag 0.3446 0.8446 0.1892 1
Ag2 Ag 0.8446 0.6554 0.5000 1
Ag3 Ag 0.1554 0.3446 0.5000 1
Ag4 Ag 0.6554 0.1554 0.8108 1
Co1 Co 0.7500 0.7500 0.0000 1
Co2 Co 0.2500 0.2500 0.0000 1